{"formula": "Mg3C", "functional": "GGA-PBE", "state": "optimized geometry", "spacegroup": "Pm-3n, No. 223", "e_tot_ev_per_cell": -20.1, "de_polymorph_ev_per_atom": 0.660, "formation_energy_ev_per_atom": 0.995, "cell": [[-2.465, 1.219, 4.327], [1.062, -4.637, 1.911], [4.368, 1.815, 1.977]], "species": ["Mg", "Mg", "Mg", "Mg", "Mg", "Mg", "C", "C"], "frac_coords": [[0.250, 0.500, 0.000], [0.000, 0.250, 0.500], [0.000, 0.750, 0.500], [0.750, 0.500, 0.000], [0.500, 0.000, 0.750], [0.500, 0.000, 0.250], [0.500, 0.500, 0.500], [0.000, 0.000, 0.000]]}